GaCoAs2O6 GGA+U relaxed; total moment = 0.00 μB per atom; calculated total energy = -117.68 eV/cell; calculated volume = 254 Å³/cell
1.0
-3.8620 2.7071 -1.7748
-3.3361 -1.0921 6.3971
1.9566 5.2957 4.6231
Ga Co As O
2 2 4 12
Cartesian
-0.3349 4.3720 4.6238 Ga
-4.9066 2.5386 4.6216 Ga
-3.8806 0.0928 5.8123 Co
-1.3609 6.8178 3.4331 Co
-2.5753 2.9165 7.1961 As
-1.8776 1.2619 3.3196 As
-2.6663 3.9941 2.0493 As
-3.3639 5.6487 5.9258 As
1.3662 4.6004 3.7367 O
-0.2657 6.2805 4.9175 O
-6.6078 2.3102 5.5087 O
-4.9759 0.6302 4.3279 O
-3.7440 2.0436 6.2017 O
-2.1795 0.3599 4.8069 O
-1.4975 4.8671 3.0437 O
-3.0620 6.5507 4.4385 O
-4.8500 4.6127 5.2155 O
-3.1253 2.6827 3.4115 O
-0.3916 2.2979 4.0299 O
-2.1163 4.2280 5.8339 O